1.
CdGaAsSe2: relaxed, PBE-GGA.

Cell and atoms, written as CIF:
```
data_CdGaAsSe2
_symmetry_space_group_name_H-M 'P 1'
_symmetry_Int_Tables_number 1
_cell_length_a 5.342
_cell_length_b 5.342
_cell_length_c 5.156
_cell_angle_alpha 90.00
_cell_angle_beta 90.00
_cell_angle_gamma 90.00
loop_
_symmetry_equiv_pos_as_xyz
'x,y,z'
loop_
_atom_site_label
_atom_site_type_symbol
_atom_site_fract_x
_atom_site_fract_y
_atom_site_fract_z
_atom_site_occupancy
Cd1 Cd 0.000 0.000 0.000 1
Ga1 Ga 0.500 0.500 0.500 1
As1 As 0.000 0.000 0.500 1
Se1 Se 0.000 0.500 0.000 1
Se2 Se 0.500 0.000 0.000 1
```

Summary:
As for the energy above the lowest structure with this stoichiometry: 16.27 kJ per mole of atoms. For the density of states at the Fermi level, the calculation gives 4.76 states/eV/f.u. As for the energy relative to the elements, uncorrected: 2.7 eV/f.u.

2.
Tb3Ga4Ir2: relaxed, PBE-GGA.

Cell and atoms, written as CIF:
```
data_Tb3Ga4Ir2
_symmetry_space_group_name_H-M 'P 1'
_symmetry_Int_Tables_number 1
_cell_length_a 5.757
_cell_length_b 5.757
_cell_length_c 8.426
_cell_angle_alpha 112.35
_cell_angle_beta 112.35
_cell_angle_gamma 45.34
loop_
_symmetry_equiv_pos_as_xyz
'x,y,z'
loop_
_atom_site_label
_atom_site_type_symbol
_atom_site_fract_x
_atom_site_fract_y
_atom_site_fract_z
_atom_site_occupancy
Tb1 Tb 0.000 0.000 0.000 1
Tb2 Tb 0.318 0.318 0.357 1
Tb3 Tb 0.682 0.682 0.643 1
Ga1 Ga 0.034 0.034 0.369 1
Ga2 Ga 0.295 0.295 0.957 1
Ga3 Ga 0.705 0.705 0.043 1
Ga4 Ga 0.966 0.966 0.631 1
Ir1 Ir 0.409 0.409 0.739 1
Ir2 Ir 0.591 0.591 0.261 1
```

Summary:
The energy relative to the elements comes out at -0.761 eV per atom. As for the energy above the lowest structure with this stoichiometry: 0.00 kJ per mole of atoms. For the density of states at the Fermi level, the calculation gives 4.63 states/eV/f.u.

3.
Sm6HgPb2: relaxed, PBE-GGA.

Cell and atoms, written as CIF:
```
data_Sm6HgPb2
_symmetry_space_group_name_H-M 'P 1'
_symmetry_Int_Tables_number 1
_cell_length_a 8.566
_cell_length_b 8.566
_cell_length_c 4.452
_cell_angle_alpha 90.00
_cell_angle_beta 90.00
_cell_angle_gamma 120.00
loop_
_symmetry_equiv_pos_as_xyz
'x,y,z'
loop_
_atom_site_label
_atom_site_type_symbol
_atom_site_fract_x
_atom_site_fract_y
_atom_site_fract_z
_atom_site_occupancy
Sm1 Sm 0.000 0.254 0.000 1
Sm2 Sm 0.000 0.593 0.500 1
Sm3 Sm 0.254 0.000 0.000 1
Sm4 Sm 0.407 0.407 0.500 1
Sm5 Sm 0.593 0.000 0.500 1
Sm6 Sm 0.746 0.746 0.000 1
Hg1 Hg 0.000 0.000 0.500 1
Pb1 Pb 0.333 0.667 0.000 1
Pb2 Pb 0.667 0.333 0.000 1
```

Summary:
The energy relative to the elements comes out at -0.378 eV per atom. For the density of states at the Fermi level, the calculation gives 8.45 states/eV/f.u.

4.
Pr9Nd2Dy: relaxed, PBE-GGA.

Cell and atoms, written as CIF:
```
data_Pr9Nd2Dy
_symmetry_space_group_name_H-M 'P 1'
_symmetry_Int_Tables_number 1
_cell_length_a 5.224
_cell_length_b 5.224
_cell_length_c 15.667
_cell_angle_alpha 90.00
_cell_angle_beta 90.00
_cell_angle_gamma 90.00
loop_
_symmetry_equiv_pos_as_xyz
'x,y,z'
loop_
_atom_site_label
_atom_site_type_symbol
_atom_site_fract_x
_atom_site_fract_y
_atom_site_fract_z
_atom_site_occupancy
Pr1 Pr 0.000 0.000 0.000 1
Pr2 Pr 0.000 0.000 0.332 1
Pr3 Pr 0.000 0.000 0.668 1
Pr4 Pr 0.000 0.500 0.165 1
Pr5 Pr 0.000 0.500 0.500 1
Pr6 Pr 0.000 0.500 0.835 1
Pr7 Pr 0.500 0.000 0.165 1
Pr8 Pr 0.500 0.000 0.500 1
Pr9 Pr 0.500 0.000 0.835 1
Nd1 Nd 0.500 0.500 0.332 1
Nd2 Nd 0.500 0.500 0.668 1
Dy1 Dy 0.500 0.500 0.000 1
```

Summary:
The energy relative to the elements comes out at 0.013 eV per atom. For the density of states at the Fermi level, the calculation gives 20.67 states/eV/f.u.

5.
Zr3Si2Ni9: relaxed, PBE-GGA.

Cell and atoms, written as CIF:
```
data_Zr3Si2Ni9
_symmetry_space_group_name_H-M 'P 1'
_symmetry_Int_Tables_number 1
_cell_length_a 7.393
_cell_length_b 7.393
_cell_length_c 7.393
_cell_angle_alpha 149.94
_cell_angle_beta 106.22
_cell_angle_gamma 81.68
loop_
_symmetry_equiv_pos_as_xyz
'x,y,z'
loop_
_atom_site_label
_atom_site_type_symbol
_atom_site_fract_x
_atom_site_fract_y
_atom_site_fract_z
_atom_site_occupancy
Zr1 Zr 0.000 0.000 0.000 1
Zr2 Zr 0.308 0.308 0.000 1
Zr3 Zr 0.692 0.692 0.000 1
Si1 Si 0.280 0.500 0.780 1
Si2 Si 0.720 0.500 0.220 1
Ni1 Ni 0.038 0.673 0.366 1
Ni2 Ni 0.162 0.881 0.280 1
Ni3 Ni 0.307 0.673 0.634 1
Ni4 Ni 0.399 0.119 0.280 1
Ni5 Ni 0.500 0.000 0.500 1
Ni6 Ni 0.601 0.881 0.720 1
Ni7 Ni 0.693 0.327 0.366 1
Ni8 Ni 0.838 0.119 0.720 1
Ni9 Ni 0.962 0.327 0.634 1
```

Summary:
For the density of states at the Fermi level, the calculation gives 11.92 states/eV/f.u. As for the energy relative to the elements, uncorrected: -6.4 eV/f.u.

6.
Al3TeI: relaxed, PBE-GGA.

Cell and atoms, written as CIF:
```
data_Al3TeI
_symmetry_space_group_name_H-M 'P 1'
_symmetry_Int_Tables_number 1
_cell_length_a 5.708
_cell_length_b 5.708
_cell_length_c 5.708
_cell_angle_alpha 90.00
_cell_angle_beta 90.00
_cell_angle_gamma 90.00
loop_
_symmetry_equiv_pos_as_xyz
'x,y,z'
loop_
_atom_site_label
_atom_site_type_symbol
_atom_site_fract_x
_atom_site_fract_y
_atom_site_fract_z
_atom_site_occupancy
Al1 Al 0.000 0.000 0.500 1
Al2 Al 0.000 0.500 0.000 1
Al3 Al 0.500 0.000 0.000 1
Te1 Te 0.000 0.000 0.000 1
I1 I 0.500 0.500 0.500 1
```

Summary:
As for the energy above the lowest structure with this stoichiometry: 0.00 kJ per mole of atoms. For the density of states at the Fermi level, the calculation gives 2.69 states/eV/f.u. As for the energy relative to the elements, uncorrected: 3.3 eV/f.u.

7.
La8Dy2In: relaxed, PBE-GGA.

Cell and atoms, written as CIF:
```
data_La8Dy2In
_symmetry_space_group_name_H-M 'P 1'
_symmetry_Int_Tables_number 1
_cell_length_a 7.921
_cell_length_b 7.921
_cell_length_c 6.650
_cell_angle_alpha 96.73
_cell_angle_beta 96.73
_cell_angle_gamma 73.71
loop_
_symmetry_equiv_pos_as_xyz
'x,y,z'
loop_
_atom_site_label
_atom_site_type_symbol
_atom_site_fract_x
_atom_site_fract_y
_atom_site_fract_z
_atom_site_occupancy
La1 La 0.099 0.099 0.288 1
La2 La 0.134 0.667 0.246 1
La3 La 0.244 0.244 0.977 1
La4 La 0.333 0.866 0.754 1
La5 La 0.667 0.134 0.246 1
La6 La 0.756 0.756 0.023 1
La7 La 0.866 0.333 0.754 1
La8 La 0.901 0.901 0.712 1
Dy1 Dy 0.373 0.373 0.565 1
Dy2 Dy 0.627 0.627 0.435 1
In1 In 0.500 0.500 0.000 1
```

Summary:
The energy relative to the elements comes out at 0.217 eV per atom. As for the energy above the lowest structure with this stoichiometry: 28.36 kJ per mole of atoms. For the density of states at the Fermi level, the calculation gives 13.70 states/eV/f.u.

8.
ReSiTe2Ir: relaxed, PBE-GGA.

Cell and atoms, written as CIF:
```
data_ReSiTe2Ir
_symmetry_space_group_name_H-M 'P 1'
_symmetry_Int_Tables_number 1
_cell_length_a 5.273
_cell_length_b 5.273
_cell_length_c 4.801
_cell_angle_alpha 90.00
_cell_angle_beta 90.00
_cell_angle_gamma 90.00
loop_
_symmetry_equiv_pos_as_xyz
'x,y,z'
loop_
_atom_site_label
_atom_site_type_symbol
_atom_site_fract_x
_atom_site_fract_y
_atom_site_fract_z
_atom_site_occupancy
Re1 Re 0.000 0.000 0.000 1
Si1 Si 0.500 0.500 0.000 1
Te1 Te 0.000 0.500 0.500 1
Te2 Te 0.500 0.000 0.500 1
Ir1 Ir 0.000 0.000 0.500 1
```

Summary:
For the density of states at the Fermi level, the calculation gives 4.11 states/eV/f.u. As for the energy relative to the elements, uncorrected: 7.4 eV/f.u.

9.
SmHgI6: relaxed, PBE-GGA.

Cell and atoms, written as CIF:
```
data_SmHgI6
_symmetry_space_group_name_H-M 'P 1'
_symmetry_Int_Tables_number 1
_cell_length_a 7.388
_cell_length_b 7.769
_cell_length_c 7.986
_cell_angle_alpha 111.51
_cell_angle_beta 95.04
_cell_angle_gamma 115.50
loop_
_symmetry_equiv_pos_as_xyz
'x,y,z'
loop_
_atom_site_label
_atom_site_type_symbol
_atom_site_fract_x
_atom_site_fract_y
_atom_site_fract_z
_atom_site_occupancy
Sm1 Sm 0.000 0.000 0.000 1
Hg1 Hg 0.500 0.000 0.500 1
I1 I 0.214 0.803 0.759 1
I2 I 0.257 0.158 0.421 1
I3 I 0.264 0.457 0.040 1
I4 I 0.736 0.543 0.960 1
I5 I 0.743 0.842 0.579 1
I6 I 0.786 0.197 0.241 1
```

Summary:
For the density of states at the Fermi level, the calculation gives 3.88 states/eV/f.u. As for the energy relative to the elements, uncorrected: -5.3 eV/f.u.

10.
MnCd2Re: relaxed, PBE-GGA.

Cell and atoms, written as CIF:
```
data_MnCd2Re
_symmetry_space_group_name_H-M 'P 1'
_symmetry_Int_Tables_number 1
_cell_length_a 2.873
_cell_length_b 2.873
_cell_length_c 29.081
_cell_angle_alpha 90.00
_cell_angle_beta 90.00
_cell_angle_gamma 120.00
loop_
_symmetry_equiv_pos_as_xyz
'x,y,z'
loop_
_atom_site_label
_atom_site_type_symbol
_atom_site_fract_x
_atom_site_fract_y
_atom_site_fract_z
_atom_site_occupancy
Mn1 Mn 0.000 0.000 0.000 1
Mn2 Mn 0.333 0.667 0.667 1
Mn3 Mn 0.667 0.333 0.333 1
Cd1 Cd 0.000 0.000 0.251 1
Cd2 Cd 0.000 0.000 0.749 1
Cd3 Cd 0.333 0.667 0.416 1
Cd4 Cd 0.333 0.667 0.918 1
Cd5 Cd 0.667 0.333 0.082 1
Cd6 Cd 0.667 0.333 0.584 1
Re1 Re 0.000 0.000 0.500 1
Re2 Re 0.333 0.667 0.167 1
Re3 Re 0.667 0.333 0.833 1
```

Summary:
The energy relative to the elements comes out at 0.530 eV per atom. As for the energy above the lowest structure with this stoichiometry: 27.97 kJ per mole of atoms. For the density of states at the Fermi level, the calculation gives 4.18 states/eV/f.u.

11.
ErPuFe10: relaxed, PBE-GGA.

Cell and atoms, written as CIF:
```
data_ErPuFe10
_symmetry_space_group_name_H-M 'P 1'
_symmetry_Int_Tables_number 1
_cell_length_a 3.951
_cell_length_b 4.957
_cell_length_c 8.593
_cell_angle_alpha 90.00
_cell_angle_beta 90.00
_cell_angle_gamma 90.00
loop_
_symmetry_equiv_pos_as_xyz
'x,y,z'
loop_
_atom_site_label
_atom_site_type_symbol
_atom_site_fract_x
_atom_site_fract_y
_atom_site_fract_z
_atom_site_occupancy
Er1 Er 0.000 0.000 0.000 1
Pu1 Pu 0.000 0.500 0.500 1
Fe1 Fe 0.000 0.000 0.334 1
Fe2 Fe 0.000 0.000 0.666 1
Fe3 Fe 0.000 0.500 0.167 1
Fe4 Fe 0.000 0.500 0.833 1
Fe5 Fe 0.500 0.000 0.500 1
Fe6 Fe 0.500 0.249 0.248 1
Fe7 Fe 0.500 0.249 0.752 1
Fe8 Fe 0.500 0.500 0.000 1
Fe9 Fe 0.500 0.751 0.248 1
Fe10 Fe 0.500 0.751 0.752 1
```

Summary:
The energy relative to the elements comes out at 0.075 eV per atom. For the density of states at the Fermi level, the calculation gives 23.37 states/eV/f.u.

12.
Mg2AlSi: relaxed, PBE-GGA.

Cell and atoms, written as CIF:
```
data_Mg2AlSi
_symmetry_space_group_name_H-M 'P 1'
_symmetry_Int_Tables_number 1
_cell_length_a 3.098
_cell_length_b 4.029
_cell_length_c 5.866
_cell_angle_alpha 90.00
_cell_angle_beta 90.00
_cell_angle_gamma 90.00
loop_
_symmetry_equiv_pos_as_xyz
'x,y,z'
loop_
_atom_site_label
_atom_site_type_symbol
_atom_site_fract_x
_atom_site_fract_y
_atom_site_fract_z
_atom_site_occupancy
Mg1 Mg 0.000 0.000 0.243 1
Mg2 Mg 0.000 0.000 0.757 1
Al1 Al 0.500 0.500 0.500 1
Si1 Si 0.500 0.500 0.000 1
```

Summary:
For the density of states at the Fermi level, the calculation gives 1.45 states/eV/f.u. As for the energy relative to the elements, uncorrected: 0.2 eV/f.u.

What energy values result from the calculations? In sequence: -2.562; -5.619; -4.382; -4.750; -6.780; -2.532; -4.452; -5.131; -2.447; -5.331; -8.552; -3.031 eV/atom.